VASP calculation (GGA+U) on BeV2AuO after structural relaxation.

a b c (Å): 4.603 4.603 3.221
angles (deg): 90.00 90.00 90.00
Space group P4/mmm (No. 123)
Asymmetric unit:
Be1 0.000 0.000 0.000 x1
V1 0.000 0.500 0.500 x2
Au1 0.500 0.500 0.000 x1
O1 0.000 0.000 0.500 x1

Computed properties:
The spin magnetization comes out at 5.694 μB per cell. The calculation puts the total energy at -5.703 eV per atom. The density of states at the Fermi level is 3.463 states/eV per cell.